Entry 1:
This record from Alexandria via LeMat-Bulk describes a relaxed structure of LiReHg. The functional is GGA-PBE.

The space group is F-43m (No. 216) and the conventional cell measures 5.927, 5.927 and 5.927 Å, with angles of 90.00, 90.00 and 90.00 degrees. The inequivalent atoms are Li at (0.000, 0.000, 0.000), Re at (0.250, 0.250, 0.250) and Hg at (0.250, 0.250, 0.750).

Its formation energy is 1.2501 eV per atom. The polymorph energy (0 for the lowest one) is 814 meV per atom.

***

Entry 2:
This record from Alexandria via LeMat-Bulk describes a relaxed structure of Ho2Tm3Ag3. The functional is GGA-PBE.

The space group is Immm (No. 71) and the conventional cell measures 3.627, 5.189 and 21.314 Å, with angles of 90.00, 90.00 and 90.00 degrees. The inequivalent atoms are Ho at (0.000, 0.000, 0.231), Tm at (0.000, 0.000, 0.000), Tm at (0.000, 0.500, 0.120), Ag at (0.000, 0.000, 0.500) and Ag at (0.000, 0.500, 0.384).

Its formation energy is -0.2274 eV per atom.

***

Entry 3:
This record from Alexandria via LeMat-Bulk describes a relaxed structure of CdTe2As. The functional is GGA-PBE.

The space group is I-42d (No. 122) and the conventional cell measures 6.096, 6.096 and 15.303 Å, with angles of 90.00, 90.00 and 90.00 degrees. The inequivalent atoms are Cd at (0.000, 0.000, 0.000), Te at (0.232, 0.250, 0.625) and As at (0.000, 0.000, 0.500).

The polymorph energy (0 for the lowest one) is 111 meV per atom. As for the energy relative to the elements, uncorrected: 30 meV/atom.

***

Entry 4:
This record from Alexandria via LeMat-Bulk describes a relaxed structure of YMgRu. The functional is GGA-PBE.

The space group is P2_1/c (No. 14) and the conventional cell measures 6.392, 5.576 and 7.948 Å, with angles of 90.00, 112.31 and 90.00 degrees. The inequivalent atoms are Y at (0.158, 0.103, 0.368), Mg at (0.419, 0.600, 0.305) and Ru at (0.167, 0.621, 0.517).

Its formation energy is -0.2284 eV per atom.

***

Entry 5:
This record from Alexandria via LeMat-Bulk describes a relaxed structure of Hf4SnPt2. The functional is GGA-PBE.

The space group is R-3m (No. 166, hexagonal axes) and the conventional cell measures 4.3832, 4.3832 and 28.8523 Å, with angles of 90.00, 90.00 and 120.00 degrees. The inequivalent atoms are Hf at (0.0000, 0.0000, 0.1104), Hf at (0.0000, 0.0000, 0.2999), Sn at (0.0000, 0.0000, 0.5000) and Pt at (0.0000, 0.0000, 0.3961).

Its formation energy is -0.5123 eV per atom.

***

Entry 6:
This record from Alexandria via LeMat-Bulk describes a relaxed structure of PrAs2PdRh2. The functional is GGA-PBE.

The space group is P-3m1 (No. 164) and the conventional cell measures 4.3348, 4.3348 and 6.6742 Å, with angles of 90.00, 90.00 and 120.00 degrees. The inequivalent atoms are Pr at (0.0000, 0.0000, 0.0000), As at (0.3333, 0.6667, 0.2790), Pd at (0.0000, 0.0000, 0.5000) and Rh at (0.3333, 0.6667, 0.6681).

Its formation energy is -0.7671 eV per atom.

***

Volume (Å³/f.u.)
52.0; 200.5; 142.2; 65.5; 160.0; 108.6
E_tot (eV/atom)
-3.64; -4.12; -2.93; -6.01; -8.50; -6.43